(1)
DFT (SCAN) results for DySbRh at its PBEsol-relaxed geometry.

a b c (Å): 7.049 4.514 7.725
angles (deg): 90.00 90.00 90.00
Space group Pnma (No. 62)
One atom of each set of equivalent atoms:
Dy (0.009, 0.250, 0.201) x4
Sb (0.192, 0.250, 0.591) x4
Rh (0.198, 0.750, 0.418) x4

The electronic total energy comes out at -40.7735 eV/atom. For the formation energy from raw total energies, the calculation gives -1.16 eV per atom. As for the crystal system: orthorhombic.



(2)
DFT (SCAN) results for Ni2As2Br at its PBEsol-relaxed geometry.

a b c (Å): 3.483 3.483 14.431
angles (deg): 90.00 90.00 90.00
Space group I4/mmm (No. 139)
One atom of each set of equivalent atoms:
Ni (0.000, 0.500, 0.250) x4
As (0.000, 0.000, 0.141) x4
Br (0.000, 0.000, 0.500) x2

The electronic total energy comes out at -18.5778 eV/atom. For the formation energy from raw total energies, the calculation gives -0.14 eV per atom. As for the crystal system: tetragonal.



The highest electronic total energy belongs to which entry?
Ni2As2Br